Here is a relaxed Tb2CeNi crystal from Alexandria via LeMat-Bulk. Energies are from PBE.

As for the energy above the most stable polymorph in this dataset: 57 meV per atom. As for the magnetic moment: 0.299 μB/atom.

Lattice parameters (Å, degrees): 3.4267 3.4267 8.6710 90.00 90.00 90.00
Last column: nearest neighbours and their distance in Å.
Space group P4/mmm (No. 123)
One atom of each set of equivalent atoms:
Tb 0.0000 0.0000 0.1875 [2 per cell]  4 Ni 2.92, 1 Tb 3.25
Ce 0.5000 0.5000 0.5000 [1 per cell]  4 Ce 3.43, 8 Tb 3.64
Ni 0.5000 0.5000 0.0000 [1 per cell]  8 Tb 2.92